First-principles (PBE) data for a relaxed ScCrGa2 crystal, as listed in Alexandria.

Properties
Formation energy   1.27 eV/f.u.

Lattice parameters (Å, degrees): 3.933 3.933 9.704 78.31 78.31 90.00
Element x y z (fractional)
Ga (0.875, 0.921, 0.750)
Ga (0.671, 0.125, 0.250)
Ga (0.079, 0.625, 0.250)
Ga (0.375, 0.329, 0.750)
Sc (0.250, 0.750, 0.500)
Sc (0.500, 0.500, 0.000)
Cr (0.750, 0.250, 0.500)
Cr (0.000, 0.000, 0.000)


First-principles (PBE) data for a relaxed Sc2CrGa2 crystal, as listed in Alexandria.

Properties
Formation energy   1.84 eV/f.u.
Offset from the most stable computed form   68.7 kJ/mol of atoms

Lattice parameters (Å, degrees): 3.798 3.798 6.868 73.95 73.95 90.00
Element x y z (fractional)
Sc (0.750, 0.250, 0.500)
Sc (0.250, 0.750, 0.500)
Ga (0.592, 0.592, 0.817)
Ga (0.408, 0.408, 0.183)
Cr (0.000, 0.000, 0.000)


First-principles (PBE) data for a relaxed Sc2CrGa crystal, as listed in Alexandria.

Properties
Formation energy   1.46 eV/f.u.

Lattice parameters (Å, degrees): 7.304 7.304 5.859 51.44 51.44 90.00
Element x y z (fractional)
Ga (0.750, 0.250, 0.500)
Ga (0.000, 0.000, 0.000)
Sc (0.875, 0.858, 0.750)
Sc (0.375, 0.392, 0.750)
Sc (0.608, 0.125, 0.250)
Sc (0.142, 0.625, 0.250)
Cr (0.500, 0.500, 0.000)
Cr (0.250, 0.750, 0.500)


Which value of formation energy does entry 1 give?
1.27 eV/f.u.